Sr2MgTlHg6 after structural relaxation. Source: Alexandria, functional PBE-GGA.

* electronic total energy: -1.213 eV/atom
* calculated formation energy: -2.994 eV/f.u.
* ρ: 9.44 g cm⁻³

The structure in CIF format:
```
data_Sr2MgTlHg6
_space_group_name_H-M_alt 'P -1'
_space_group_IT_number 2
_cell_length_a 5.607
_cell_length_b 5.766
_cell_length_c 9.593
_cell_angle_alpha 105.62
_cell_angle_beta 97.63
_cell_angle_gamma 104.33
loop_
_space_group_symop_operation_xyz
'x,y,z'
'-x,-y,-z'
loop_
_atom_site_label
_atom_site_fract_x
_atom_site_fract_y
_atom_site_fract_z
_atom_site_occupancy
Sr1 0.132 0.318 0.198 1
Mg1 0.000 0.000 0.500 1
Tl1 0.500 0.000 0.000 1
Hg1 0.229 0.319 0.853 1
Hg2 0.273 0.528 0.581 1
Hg3 0.406 0.932 0.328 1
```

***

Ho2NbS4 after structural relaxation. Source: Alexandria, functional PBE-GGA.

* electronic total energy: -6.678 eV/atom
* formation energy from raw total energies: -1062 kJ/mol of formula units
* ρ: 5.87 g cm⁻³

The structure in CIF format:
```
data_Ho2NbS4
_space_group_name_H-M_alt 'C 1 2/m 1'
_space_group_IT_number 12
_cell_length_a 13.563
_cell_length_b 3.799
_cell_length_c 6.944
_cell_angle_alpha 90.00
_cell_angle_beta 119.46
_cell_angle_gamma 90.00
loop_
_space_group_symop_operation_xyz
'x,y,z'
'-x,-y,-z'
'-x,y,-z'
'x,-y,z'
'x+1/2,y+1/2,z'
'-x+1/2,-y+1/2,-z'
'-x+1/2,y+1/2,-z'
'x+1/2,-y+1/2,z'
loop_
_atom_site_label
_atom_site_fract_x
_atom_site_fract_y
_atom_site_fract_z
_atom_site_occupancy
Ho1 0.229 0.000 0.217 1
Nb1 0.000 0.500 0.500 1
S1 0.114 0.500 0.920 1
S2 0.128 0.000 0.484 1
```

***

LiTaCo after structural relaxation. Source: Alexandria, functional PBE-GGA.

* electronic total energy: -6.679 eV/atom
* calculated formation energy: 0.836 eV/f.u.
* energy above the lowest structure with this stoichiometry: 76.1 meV per atom
* ρ: 9.03 g cm⁻³

The structure in CIF format:
```
data_LiTaCo
_space_group_name_H-M_alt 'F m m 2'
_space_group_IT_number 42
_space_group_name_Hall 'F 2 -2'
_cell_length_a 3.160
_cell_length_b 4.351
_cell_length_c 13.207
_cell_angle_alpha 90.00
_cell_angle_beta 90.00
_cell_angle_gamma 90.00
loop_
_atom_site_label
_atom_site_fract_x
_atom_site_fract_y
_atom_site_fract_z
_atom_site_occupancy
Li1 0.000 0.000 0.000 1
Ta1 0.000 0.000 0.695 1
Co1 0.000 0.000 0.346 1
```

***

Zn4As after structural relaxation. Source: Alexandria, functional PBE-GGA.

* electronic total energy: -1.802 eV/atom
* calculated formation energy: 0.735 eV/f.u.
* energy above the lowest structure with this stoichiometry: 50.2 meV per atom
* ρ: 6.51 g cm⁻³

The structure in CIF format:
```
data_Zn4As
_space_group_name_H-M_alt 'I 4/m m m'
_space_group_IT_number 139
_space_group_name_Hall '-I 4 2'
_cell_length_a 3.718
_cell_length_b 3.718
_cell_length_c 12.410
_cell_angle_alpha 90.00
_cell_angle_beta 90.00
_cell_angle_gamma 90.00
loop_
_atom_site_label
_atom_site_fract_x
_atom_site_fract_y
_atom_site_fract_z
_atom_site_occupancy
Zn1 0.000 0.000 0.099 1
Zn2 0.000 0.500 0.250 1
As1 0.000 0.000 0.500 1
```

***

Na3Tm3GeO8 after structural relaxation. Source: Alexandria, functional PBE-GGA.

* electronic total energy: -6.715 eV/atom
* formation energy from raw total energies: -3769 kJ/mol of formula units
* ρ: 6.25 g cm⁻³

The structure in CIF format:
```
data_Na3Tm3GeO8
_space_group_name_H-M_alt 'R -3 m'
_space_group_IT_number 166
_space_group_name_Hall '-R 3 2"'
_cell_length_a 6.5538
_cell_length_b 6.5538
_cell_length_c 16.6481
_cell_angle_alpha 90.00
_cell_angle_beta 90.00
_cell_angle_gamma 120.00
loop_
_atom_site_label
_atom_site_fract_x
_atom_site_fract_y
_atom_site_fract_z
_atom_site_occupancy
Na1 0.0000 0.5000 0.0000 1
Tm1 0.0000 0.5000 0.5000 1
Ge1 0.0000 0.0000 0.5000 1
O1 0.0000 0.0000 0.2350 1
O2 0.0373 0.5186 0.2311 1
```

***

HfMgMn2 after structural relaxation. Source: Alexandria, functional PBE-GGA.

* electronic total energy: -6.864 eV/atom
* calculated formation energy: 2.430 eV/f.u.
* ρ: 7.29 g cm⁻³

The structure in CIF format:
```
data_HfMgMn2
_space_group_name_H-M_alt 'I -4 2 d'
_space_group_IT_number 122
_space_group_name_Hall 'I -4 2bw'
_cell_length_a 7.100
_cell_length_b 7.100
_cell_length_c 5.651
_cell_angle_alpha 90.00
_cell_angle_beta 90.00
_cell_angle_gamma 90.00
loop_
_atom_site_label
_atom_site_fract_x
_atom_site_fract_y
_atom_site_fract_z
_atom_site_occupancy
Hf1 0.000 0.000 0.000 1
Mg1 0.000 0.000 0.500 1
Mn1 0.246 0.250 0.625 1
```

***

TiH3Pd6 after structural relaxation. Source: Alexandria, functional PBE-GGA.

* electronic total energy: -5.114 eV/atom
* ρ: 9.68 g cm⁻³

The structure in CIF format:
```
data_TiH3Pd6
_space_group_name_H-M_alt 'P 1 21/m 1'
_space_group_IT_number 11
_cell_length_a 9.228
_cell_length_b 2.886
_cell_length_c 9.308
_cell_angle_alpha 90.00
_cell_angle_beta 107.46
_cell_angle_gamma 90.00
loop_
_space_group_symop_operation_xyz
'x,y,z'
'-x,-y,-z'
'-x,y+1/2,-z'
'x,-y+1/2,z'
loop_
_atom_site_label
_atom_site_fract_x
_atom_site_fract_y
_atom_site_fract_z
_atom_site_occupancy
Ti1 0.049 0.250 0.167 1
H1 0.205 0.250 0.601 1
H2 0.411 0.750 0.038 1
H3 0.478 0.750 0.658 1
Pd1 0.092 0.750 0.407 1
Pd2 0.177 0.750 0.714 1
Pd3 0.204 0.250 0.978 1
Pd4 0.304 0.750 0.256 1
Pd5 0.379 0.250 0.548 1
Pd6 0.479 0.750 0.861 1
```

***

Ba2Zn3PbAu4 after structural relaxation. Source: Alexandria, functional PBE-GGA.

* electronic total energy: -2.921 eV/atom
* calculated formation energy: -4.724 eV/f.u.
* ρ: 9.79 g cm⁻³

The structure in CIF format:
```
data_Ba2Zn3PbAu4
_space_group_name_H-M_alt 'P -4 m 2'
_space_group_IT_number 115
_cell_length_a 4.742
_cell_length_b 4.742
_cell_length_c 11.063
_cell_angle_alpha 90.00
_cell_angle_beta 90.00
_cell_angle_gamma 90.00
loop_
_space_group_symop_operation_xyz
'x,y,z'
'y,-x,-z'
'-x,-y,z'
'-y,x,-z'
'-x,y,z'
'-y,-x,-z'
'x,-y,z'
'y,x,-z'
loop_
_atom_site_label
_atom_site_fract_x
_atom_site_fract_y
_atom_site_fract_z
_atom_site_occupancy
Ba1 0.000 0.500 0.238 1
Zn1 0.000 0.500 0.888 1
Zn2 0.500 0.500 0.500 1
Pb1 0.000 0.000 0.500 1
Au1 0.000 0.000 0.000 1
Au2 0.000 0.500 0.651 1
Au3 0.500 0.500 0.000 1
```

***

LiGdSc2 after structural relaxation. Source: Alexandria, functional PBE-GGA.

* electronic total energy: -7.033 eV/atom
* calculated formation energy: 0.524 eV/f.u.
* energy above the lowest structure with this stoichiometry: 0.0 meV per atom
* ρ: 4.28 g cm⁻³

The structure in CIF format:
```
data_LiGdSc2
_space_group_name_H-M_alt 'P 4/m m m'
_space_group_IT_number 123
_space_group_name_Hall '-P 4 2'
_cell_length_a 3.447
_cell_length_b 3.447
_cell_length_c 8.304
_cell_angle_alpha 90.00
_cell_angle_beta 90.00
_cell_angle_gamma 90.00
loop_
_atom_site_label
_atom_site_fract_x
_atom_site_fract_y
_atom_site_fract_z
_atom_site_occupancy
Li1 0.000 0.000 0.000 1
Gd1 0.000 0.000 0.500 1
Sc1 0.500 0.500 0.213 1
```

***

La4SbAsCl2 after structural relaxation. Source: Alexandria, functional PBE-GGA.

* electronic total energy: -5.568 eV/atom
* formation energy from raw total energies: -1193 kJ/mol of formula units
* ρ: 5.84 g cm⁻³

The structure in CIF format:
```
data_La4SbAsCl2
_space_group_name_H-M_alt 'P 1 2/m 1'
_space_group_IT_number 10
_cell_length_a 7.338
_cell_length_b 4.399
_cell_length_c 7.719
_cell_angle_alpha 90.00
_cell_angle_beta 110.13
_cell_angle_gamma 90.00
loop_
_space_group_symop_operation_xyz
'x,y,z'
'-x,-y,-z'
'-x,y,-z'
'x,-y,z'
loop_
_atom_site_label
_atom_site_fract_x
_atom_site_fract_y
_atom_site_fract_z
_atom_site_occupancy
La1 0.242 0.000 0.229 1
La2 0.256 0.500 0.772 1
Sb1 0.000 0.000 0.500 1
As1 0.000 0.500 0.000 1
Cl1 0.500 0.000 0.000 1
Cl2 0.500 0.500 0.500 1
```

***

Sr3HAu after structural relaxation. Source: Alexandria, functional PBE-GGA.

* electronic total energy: -2.641 eV/atom
* energy above the lowest structure with this stoichiometry: 171.8 meV per atom
* ρ: 5.33 g cm⁻³

The structure in CIF format:
```
data_Sr3HAu
_space_group_name_H-M_alt 'P m -3 m'
_space_group_IT_number 221
_space_group_name_Hall '-P 4 2 3'
_cell_length_a 5.236
_cell_length_b 5.236
_cell_length_c 5.236
_cell_angle_alpha 90.00
_cell_angle_beta 90.00
_cell_angle_gamma 90.00
loop_
_atom_site_label
_atom_site_fract_x
_atom_site_fract_y
_atom_site_fract_z
_atom_site_occupancy
Sr1 0.000 0.000 0.500 1
H1 0.000 0.000 0.000 1
Au1 0.500 0.500 0.500 1
```

***

Pm2Cu4Si3Sn after structural relaxation. Source: Alexandria, functional PBE-GGA.

* electronic total energy: -5.105 eV/atom
* formation energy from raw total energies: -472 kJ/mol of formula units
* ρ: 7.05 g cm⁻³

The structure in CIF format:
```
data_Pm2Cu4Si3Sn
_space_group_name_H-M_alt 'P -4 m 2'
_space_group_IT_number 115
_cell_length_a 4.145
_cell_length_b 4.145
_cell_length_c 10.239
_cell_angle_alpha 90.00
_cell_angle_beta 90.00
_cell_angle_gamma 90.00
loop_
_space_group_symop_operation_xyz
'x,y,z'
'y,-x,-z'
'-x,-y,z'
'-y,x,-z'
'-x,y,z'
'-y,-x,-z'
'x,-y,z'
'y,x,-z'
loop_
_atom_site_label
_atom_site_fract_x
_atom_site_fract_y
_atom_site_fract_z
_atom_site_occupancy
Pm1 0.000 0.500 0.233 1
Cu1 0.000 0.000 0.000 1
Cu2 0.000 0.500 0.649 1
Cu3 0.500 0.500 0.000 1
Si1 0.000 0.500 0.877 1
Si2 0.500 0.500 0.500 1
Sn1 0.000 0.000 0.500 1
```